Entry i
Computed, not measured: Fe2NiBr after structural relaxation at the GGA-PBE level of DFT.

```
4
Lattice="-1.874 1.874 3.991 1.874 -1.874 3.991 1.874 1.874 -3.991" Properties=species:S:1:pos:R:3 pbc="T T T"
Fe 0.000 0.000 0.000
Fe 0.000 1.874 1.995
Ni 1.874 0.000 1.995
Br 0.000 0.000 3.991
```

Computed properties:
As for the volume: 14.01 A^3/atom.

***

Entry ii
Computed, not measured: Fe2NiBr after structural relaxation at the GGA-PBE level of DFT.

```
4
Lattice="3.115 0.000 0.000 0.000 3.115 0.000 0.000 0.000 6.216" Properties=species:S:1:pos:R:3 pbc="T T T"
Fe 0.000 0.000 0.000
Fe 1.558 1.558 1.350
Ni 0.000 0.000 2.459
Br 1.558 1.558 4.516
```

Computed properties:
As for the volume: 15.08 A^3/atom.

***

Best to worst by energy: entry ii, entry i.

***

Entry i
Computed, not measured: Fe2NiBr after structural relaxation at the GGA-PBE level of DFT.

```
4
Lattice="0.000 3.042 3.042 3.042 0.000 3.042 3.042 3.042 0.000" Properties=species:S:1:pos:R:3 pbc="T T T"
Fe 0.000 0.000 0.000
Fe 1.521 1.521 1.521
Ni 3.042 3.042 3.042
Br 4.564 4.564 4.564
```

Computed properties:
As for the volume: 14.08 A^3/atom.

***

Entry ii
Computed, not measured: Fe2NiBr after structural relaxation at the GGA-PBE level of DFT.

```
4
Lattice="3.620 0.000 0.000 0.000 3.620 0.000 0.000 0.000 4.280" Properties=species:S:1:pos:R:3 pbc="T T T"
Fe 0.000 1.810 0.000
Fe 1.810 0.000 0.000
Ni 0.000 0.000 2.140
Br 1.810 1.810 2.140
```

Computed properties:
As for the volume: 14.02 A^3/atom.

***

Entry iii
Computed, not measured: Fe2NiBr after structural relaxation at the GGA-PBE level of DFT.

```
4
Lattice="-1.502 2.218 4.206 1.502 -2.218 4.206 1.502 2.218 -4.206" Properties=species:S:1:pos:R:3 pbc="T T T"
Fe 0.000 0.000 0.000
Fe 0.000 2.218 2.188
Ni 1.502 0.000 2.143
Br 0.000 0.000 4.249
```

Computed properties:
As for the volume: 14.01 A^3/atom.

***

Best to worst by energy: entry iii, entry ii, entry i.

***

Entry i
Computed, not measured: FeNi3Br after structural relaxation at the GGA-PBE level of DFT.

```
5
Lattice="4.406 0.000 0.000 0.000 4.406 0.000 0.000 0.000 4.406" Properties=species:S:1:pos:R:3 pbc="T T T"
Fe 0.000 0.000 0.000
Ni 0.000 0.000 2.203
Ni 0.000 2.203 0.000
Ni 2.203 0.000 0.000
Br 2.203 2.203 2.203
```

Computed properties:
As for the volume: 17.10 A^3/atom.

***

Entry ii
Computed, not measured: FeNi3Br after structural relaxation at the GGA-PBE level of DFT.

```
5
Lattice="4.317 0.000 0.000 0.000 4.317 0.000 0.000 0.000 4.317" Properties=species:S:1:pos:R:3 pbc="T T T"
Fe 0.000 0.000 0.000
Ni 0.000 2.158 2.158
Ni 2.158 0.000 2.158
Ni 2.158 2.158 0.000
Br 2.158 2.158 2.158
```

Computed properties:
As for the volume: 16.09 A^3/atom.

***

Best to worst by energy: entry i, entry ii.

***

Entry i
Computed, not measured: Fe3NiBr after structural relaxation at the GGA-PBE level of DFT.

```
5
Lattice="4.317 0.000 0.000 0.000 4.317 0.000 0.000 0.000 4.317" Properties=species:S:1:pos:R:3 pbc="T T T"
Fe 0.000 0.000 2.159
Fe 0.000 2.159 0.000
Fe 2.159 0.000 0.000
Ni 2.159 2.159 2.159
Br 0.000 0.000 0.000
```

Computed properties:
As for the volume: 16.09 A^3/atom.

***

Entry ii
Computed, not measured: Fe3NiBr after structural relaxation at the GGA-PBE level of DFT.

```
5
Lattice="4.463 0.000 0.000 0.000 4.463 0.000 0.000 0.000 4.463" Properties=species:S:1:pos:R:3 pbc="T T T"
Fe 0.000 0.000 2.231
Fe 0.000 2.231 0.000
Fe 2.231 0.000 0.000
Ni 0.000 0.000 0.000
Br 2.231 2.231 2.231
```

Computed properties:
As for the volume: 17.77 A^3/atom.

***

Best to worst by energy: entry ii, entry i.

***

Entry i
Computed, not measured: FeNiSe2Br after structural relaxation at the GGA-PBE level of DFT.

```
5
Lattice="4.646 0.000 0.000 0.000 4.646 0.000 0.000 0.000 5.270" Properties=species:S:1:pos:R:3 pbc="T T T"
Fe 0.000 0.000 0.000
Ni 2.323 2.323 2.635
Se 0.000 2.323 0.000
Se 2.323 0.000 0.000
Br 0.000 0.000 2.635
```

Computed properties:
As for the volume: 22.75 A^3/atom.

***

Entry ii
Computed, not measured: FeNiSe2Br after structural relaxation at the GGA-PBE level of DFT.

```
5
Lattice="4.709 0.000 0.000 0.000 4.709 0.000 0.000 0.000 4.854" Properties=species:S:1:pos:R:3 pbc="T T T"
Fe 0.000 0.000 0.000
Ni 2.354 2.354 2.427
Se 0.000 2.354 2.427
Se 2.354 0.000 2.427
Br 2.354 2.354 0.000
```

Computed properties:
As for the volume: 21.53 A^3/atom.

***

Best to worst by energy: entry ii, entry i.